LaSb2TeI (GGA-PBE, relaxed); V = 187.1 Å³/cell; uncorrected formation energy = 29.65 kJ/mol of atoms; uncorrected energy = -16.328 eV for the cell shown
1.0
5.753 0.000 0.000
0.000 5.753 0.000
0.000 0.000 5.655
I Sb Te La
1 2 1 1
direct
0.000 0.000 0.000
0.000 0.500 0.000
0.500 0.000 0.000
0.000 0.000 0.500
0.500 0.500 0.500


PmH2PdF8 (GGA-PBE, relaxed); V = 148.8 Å³/cell; uncorrected energy = -58.335 eV for the cell shown
1.0
3.532 0.874 -0.071
0.809 5.118 0.452
-0.275 0.900 8.665
Pm H Pd F
1 2 1 8
direct
0.000 0.000 0.500
0.511 0.453 0.751
0.489 0.547 0.249
0.000 0.000 0.000
0.147 0.804 0.226
0.673 0.774 0.968
0.729 0.359 0.266
0.853 0.196 0.774
0.327 0.226 0.032
0.271 0.641 0.734
0.645 0.737 0.472
0.355 0.263 0.528


Which formula does entry 2 have?
PmH2PdF8


Copy entry 2 word for word.
PmH2PdF8 (GGA-PBE, relaxed); V = 148.8 Å³/cell; uncorrected energy = -58.335 eV for the cell shown
1.0
3.532 0.874 -0.071
0.809 5.118 0.452
-0.275 0.900 8.665
Pm H Pd F
1 2 1 8
direct
0.000 0.000 0.500
0.511 0.453 0.751
0.489 0.547 0.249
0.000 0.000 0.000
0.147 0.804 0.226
0.673 0.774 0.968
0.729 0.359 0.266
0.853 0.196 0.774
0.327 0.226 0.032
0.271 0.641 0.734
0.645 0.737 0.472
0.355 0.263 0.528


What is the uncorrected energy in the second record?
-58.335 eV for the cell shown